Record 1
LiGaSnSb after structural relaxation, computed with PBE.

a = 7.130 Å, b = 7.130 Å, c = 7.130 Å
α = 90.00°, β = 90.00°, γ = 90.00°
Space group F-43m (No. 216)
One atom of each set of equivalent atoms:
Li 0.000 0.000 0.000 (multiplicity 4)
Ga 0.000 0.000 0.500 (multiplicity 4)
Sn 0.250 0.250 0.250 (multiplicity 4)
Sb 0.250 0.250 0.750 (multiplicity 4)

Computed properties:
The calculation puts the electronic total energy at -53.49 eV/cell.



Record 2
LiTa2GaSb after structural relaxation, computed with PBE.

a = 5.132 Å, b = 5.132 Å, c = 5.280 Å
α = 90.00°, β = 90.00°, γ = 90.00°
Space group P4/mmm (No. 123)
One atom of each set of equivalent atoms:
Li 0.000 0.000 0.000 (multiplicity 1)
Ta 0.000 0.500 0.500 (multiplicity 2)
Ga 0.500 0.500 0.000 (multiplicity 1)
Sb 0.500 0.500 0.500 (multiplicity 1)

Computed properties:
Its energy above the most stable polymorph in this dataset is 0.615 eV/atom. The calculation puts the electronic total energy at -24.87 eV/cell.



Record 3
LiTa2GaSb after structural relaxation, computed with PBE.

a = 4.580 Å, b = 4.580 Å, c = 4.321 Å
α = 90.00°, β = 90.00°, γ = 90.00°
Space group P4/mmm (No. 123)
One atom of each set of equivalent atoms:
Li 0.000 0.000 0.000 (multiplicity 1)
Ta 0.000 0.500 0.000 (multiplicity 2)
Ga 0.500 0.500 0.500 (multiplicity 1)
Sb 0.000 0.000 0.500 (multiplicity 1)

Computed properties:
Its energy above the most stable polymorph in this dataset is 0.000 eV/atom. The calculation puts the electronic total energy at -27.95 eV/cell.



Record 4
LiGaSbTe2 after structural relaxation, computed with PBE.

a = 5.349 Å, b = 5.349 Å, c = 4.863 Å
α = 90.00°, β = 90.00°, γ = 90.00°
Space group P4/mmm (No. 123)
One atom of each set of equivalent atoms:
Li 0.000 0.000 0.000 (multiplicity 1)
Ga 0.500 0.500 0.500 (multiplicity 1)
Sb 0.000 0.000 0.500 (multiplicity 1)
Te 0.000 0.500 0.000 (multiplicity 2)

Computed properties:
Its energy above the most stable polymorph in this dataset is 0.003 eV/atom. The calculation puts the electronic total energy at -14.35 eV/cell.



Record 5
LiGaSb2Te after structural relaxation, computed with PBE.

a = 5.013 Å, b = 5.013 Å, c = 5.360 Å
α = 90.00°, β = 90.00°, γ = 90.00°
Space group P4/mmm (No. 123)
One atom of each set of equivalent atoms:
Li 0.000 0.000 0.000 (multiplicity 1)
Ga 0.500 0.500 0.500 (multiplicity 1)
Sb 0.000 0.500 0.000 (multiplicity 2)
Te 0.000 0.000 0.500 (multiplicity 1)

Computed properties:
Its energy above the most stable polymorph in this dataset is 0.000 eV/atom. The calculation puts the electronic total energy at -14.98 eV/cell.



Record 6
LiGaSbTe2 after structural relaxation, computed with PBE.

a = 5.611 Å, b = 5.611 Å, c = 5.184 Å
α = 90.00°, β = 90.00°, γ = 90.00°
Space group P4/mmm (No. 123)
One atom of each set of equivalent atoms:
Li 0.000 0.000 0.000 (multiplicity 1)
Ga 0.500 0.500 0.500 (multiplicity 1)
Sb 0.500 0.500 0.000 (multiplicity 1)
Te 0.000 0.500 0.500 (multiplicity 2)

Computed properties:
Its energy above the most stable polymorph in this dataset is 0.000 eV/atom. The calculation puts the electronic total energy at -14.37 eV/cell.



Record 7
LiTl2GaSb2 after structural relaxation, computed with PBE.

a = 6.642 Å, b = 15.082 Å, c = 6.752 Å
α = 90.00°, β = 90.00°, γ = 90.00°
Space group Ibam (No. 72)
One atom of each set of equivalent atoms:
Li 0.000 0.000 0.250 (multiplicity 4)
Tl 0.228 0.171 0.000 (multiplicity 8)
Ga 0.000 0.500 0.250 (multiplicity 4)
Sb 0.226 0.392 0.000 (multiplicity 8)

Computed properties:
The calculation puts the electronic total energy at -76.01 eV/cell.



Record 8
LiTlGaSb after structural relaxation, computed with PBE.

a = 7.295 Å, b = 7.295 Å, c = 7.295 Å
α = 90.00°, β = 90.00°, γ = 90.00°
Space group F-43m (No. 216)
One atom of each set of equivalent atoms:
Li 0.000 0.000 0.000 (multiplicity 4)
Tl 0.250 0.250 0.250 (multiplicity 4)
Ga 0.000 0.000 0.500 (multiplicity 4)
Sb 0.250 0.250 0.750 (multiplicity 4)

Computed properties:
The calculation puts the electronic total energy at -47.79 eV/cell.



Record 9
LiYGaSb2 after structural relaxation, computed with PBE.

a = 4.857 Å, b = 4.857 Å, c = 5.261 Å
α = 90.00°, β = 90.00°, γ = 90.00°
Space group P4/mmm (No. 123)
One atom of each set of equivalent atoms:
Li 0.000 0.000 0.000 (multiplicity 1)
Y 0.000 0.000 0.500 (multiplicity 1)
Ga 0.500 0.500 0.500 (multiplicity 1)
Sb 0.000 0.500 0.000 (multiplicity 2)

Computed properties:
The calculation puts the electronic total energy at -19.54 eV/cell.



Record 10
LiSc3Ga7 after structural relaxation, computed with PBE.

a = 3.303 Å, b = 19.207 Å, c = 12.900 Å
α = 90.00°, β = 90.00°, γ = 90.00°
Space group Cmcm (No. 63)
One atom of each set of equivalent atoms:
Li 0.000 0.033 0.250 (multiplicity 4)
Sc 0.000 0.113 0.538 (multiplicity 8)
Sc 0.000 0.249 0.250 (multiplicity 4)
Ga 0.000 0.257 0.572 (multiplicity 8)
Ga 0.000 0.372 0.653 (multiplicity 8)
Ga 0.000 0.401 0.250 (multiplicity 4)
Ga 0.000 0.498 0.597 (multiplicity 8)

Computed properties:
The calculation puts the electronic total energy at -184.53 eV/cell.



Record 11
LiSc6Ga5 after structural relaxation, computed with PBE.

a = 4.762 Å, b = 14.380 Å, c = 6.645 Å
α = 90.00°, β = 90.00°, γ = 90.00°
Space group Cmmm (No. 65)
One atom of each set of equivalent atoms:
Li 0.000 0.000 0.000 (multiplicity 2)
Sc 0.000 0.169 0.248 (multiplicity 8)
Sc 0.000 0.500 0.255 (multiplicity 4)
Ga 0.000 0.000 0.500 (multiplicity 2)
Ga 0.000 0.334 0.500 (multiplicity 4)
Ga 0.000 0.344 0.000 (multiplicity 4)

Computed properties:
The calculation puts the electronic total energy at -123.16 eV/cell.



Record 12
LiScGa after structural relaxation, computed with PBE.

a = 3.083 Å, b = 4.833 Å, c = 15.984 Å
α = 90.00°, β = 90.00°, γ = 90.00°
Space group Immm (No. 71)
One atom of each set of equivalent atoms:
Li 0.000 0.248 0.000 (multiplicity 4)
Sc 0.000 0.500 0.323 (multiplicity 4)
Ga 0.000 0.500 0.147 (multiplicity 4)

Computed properties:
Its energy above the most stable polymorph in this dataset is 0.122 eV/atom. The calculation puts the electronic total energy at -47.91 eV/cell.



Record 13
Li2Sc2Ga3 after structural relaxation, computed with PBE.

a = 4.138 Å, b = 20.255 Å, c = 2.932 Å
α = 90.00°, β = 90.00°, γ = 90.00°
Space group Cmmm (No. 65)
One atom of each set of equivalent atoms:
Li 0.000 0.216 0.000 (multiplicity 4)
Sc 0.000 0.075 0.000 (multiplicity 4)
Ga 0.000 0.346 0.500 (multiplicity 4)
Ga 0.000 0.500 0.500 (multiplicity 2)

Computed properties:
The calculation puts the electronic total energy at -56.61 eV/cell.